## YMnO3 (PBE+U)

Data for YMnO3 after structural relaxation.

The structure in POSCAR format:
```
YMnO3
1.0
5.874 0.000 0.000
0.000 3.768 0.000
-1.506 0.000 5.974
Y Mn O
2 2 6
Direct
0.040 0.250 0.254
0.960 0.750 0.746
0.494 0.250 0.714
0.506 0.750 0.286
0.157 0.250 0.645
0.186 0.750 0.106
0.467 0.250 0.334
0.533 0.750 0.666
0.814 0.250 0.894
0.843 0.750 0.355
```

Computed properties:
Calculated volume (Å³/atom): 13.2
Energy (eV per atom): -8.332
Total moment (Bohr magnetons per cell): 8.0